# 1
Here is a geometry-optimized Tb2S3 structure from OQMD via LeMat-Bulk. Energies are from GGA-PBE.

Geometry as CIF:
```
data_Tb2S3
_cell_length_a 10.694
_cell_length_b 3.892
_cell_length_c 10.489
_cell_angle_alpha 90.00
_cell_angle_beta 90.00
_cell_angle_gamma 90.00
_symmetry_space_group_name_H-M 'P n m a'
_symmetry_Int_Tables_number 62
_symmetry_space_group_name_Hall '-P 2ac 2n'
loop_
_atom_site_label
_atom_site_type_symbol
_atom_site_fract_x
_atom_site_fract_y
_atom_site_fract_z
_atom_site_occupancy
Tb1 Tb 0.010 0.250 0.187 1
Tb2 Tb 0.192 0.250 0.504 1
S1 S 0.046 0.750 0.373 1
S2 S 0.120 0.250 0.945 1
S3 S 0.228 0.750 0.697 1
```

***

# 2
Here is a geometry-optimized SmSi3Pt structure from OQMD via LeMat-Bulk. Energies are from GGA-PBE.

Geometry as CIF:
```
data_SmSi3Pt
_cell_length_a 4.311
_cell_length_b 4.311
_cell_length_c 9.592
_cell_angle_alpha 90.00
_cell_angle_beta 90.00
_cell_angle_gamma 90.00
_symmetry_space_group_name_H-M 'I 4 m m'
_symmetry_Int_Tables_number 107
_symmetry_space_group_name_Hall 'I 4 -2'
loop_
_atom_site_label
_atom_site_type_symbol
_atom_site_fract_x
_atom_site_fract_y
_atom_site_fract_z
_atom_site_occupancy
Sm1 Sm 0.000 0.000 0.000 1
Si1 Si 0.000 0.000 0.602 1
Si2 Si 0.000 0.500 0.237 1
Pt1 Pt 0.000 0.000 0.353 1
```

***

What did we get for calculated total energy? Answer: -128.2 -61.8 eV per cell, in the order shown.